(A)
This record from Alexandria describes a geometry-optimized Ca5Br structure. The functional is GGA-PBE.

a = 6.6735 Å, b = 6.6735 Å, c = 6.1193 Å
α = 90.00°, β = 90.00°, γ = 120.00°
Fractional coordinates of all 6 atoms:
Ca 0.0000 0.6775 0.0000
Ca 0.3225 0.3225 0.0000
Ca 0.3333 0.6667 0.5000
Ca 0.6667 0.3333 0.5000
Ca 0.6775 0.0000 0.0000
Br 0.0000 0.0000 0.5000

Properties
SG	P-62m

***

(B)
This record from Alexandria describes a geometry-optimized Ca5Br structure. The functional is GGA-PBE.

a = 7.2070 Å, b = 7.2070 Å, c = 7.2070 Å
α = 60.00°, β = 60.00°, γ = 60.00°
Fractional coordinates of all 6 atoms:
Ca 0.0000 0.0000 0.0000
Ca 0.1208 0.6264 0.6264
Ca 0.6264 0.1208 0.6264
Ca 0.6264 0.6264 0.1208
Ca 0.6264 0.6264 0.6264
Br 0.2500 0.2500 0.2500

Properties
SG	F-43m

***

(C)
This record from Alexandria describes a geometry-optimized Ca5Br structure. The functional is GGA-PBE.

a = 3.7520 Å, b = 3.7520 Å, c = 16.0221 Å
α = 90.00°, β = 90.00°, γ = 90.00°
Fractional coordinates of all 6 atoms:
Ca 0.0000 0.0000 0.0000
Ca 0.0000 0.0000 0.3610
Ca 0.0000 0.0000 0.6390
Ca 0.5000 0.5000 0.1834
Ca 0.5000 0.5000 0.8166
Br 0.5000 0.5000 0.5000

Properties
SG	P4/mmm

***

Stability ranking, top entry: (C); the second entry is 182 meV/atom less favorable.

***

(A)
This record from Alexandria describes a geometry-optimized Ca5Br structure. The functional is GGA-PBE.

a = 6.8472 Å, b = 6.8472 Å, c = 9.7294 Å
α = 107.03°, β = 107.03°, γ = 32.50°
Fractional coordinates of all 6 atoms:
Ca 0.0000 0.0000 0.0000
Ca 0.0664 0.0664 0.4387
Ca 0.3154 0.3154 0.1795
Ca 0.3930 0.3930 0.6422
Ca 0.6917 0.6917 0.8183
Br 0.7472 0.7472 0.3987

Properties
SG	Cm

***

(B)
This record from Alexandria describes a geometry-optimized Ca5Br structure. The functional is GGA-PBE.

a = 6.3256 Å, b = 10.1556 Å, c = 10.1556 Å
α = 22.38°, β = 90.00°, γ = 90.00°
Fractional coordinates of all 6 atoms:
Ca 0.0000 0.0000 0.0000
Ca 0.0000 0.3309 0.3309
Ca 0.0000 0.6637 0.6637
Ca 0.5000 0.1155 0.1155
Ca 0.5000 0.4464 0.4464
Br 0.5000 0.7263 0.7263

Properties
SG	Amm2

***

Stability ranking, top entry: (A); the second entry is 79 meV/atom less favorable.

***

(A)
This record from Alexandria describes a geometry-optimized CaBr5 structure. The functional is GGA-PBE.

a = 6.8413 Å, b = 6.8413 Å, c = 8.0877 Å
α = 90.00°, β = 90.00°, γ = 145.16°
Fractional coordinates of all 6 atoms:
Ca 0.0000 0.0000 0.0000
Br 0.1685 0.8315 0.5000
Br 0.3578 0.6422 0.0000
Br 0.5000 0.5000 0.5000
Br 0.6422 0.3578 0.0000
Br 0.8315 0.1685 0.5000

Properties
SG	Cmmm

***

(B)
This record from Alexandria describes a geometry-optimized CaBr5 structure. The functional is GGA-PBE.

a = 5.3844 Å, b = 5.3844 Å, c = 7.1909 Å
α = 90.00°, β = 90.00°, γ = 120.00°
Fractional coordinates of all 6 atoms:
Ca 0.0000 0.0000 0.0000
Br 0.0000 0.6740 0.5000
Br 0.3260 0.3260 0.5000
Br 0.3333 0.6667 0.0000
Br 0.6667 0.3333 0.0000
Br 0.6740 0.0000 0.5000

Properties
SG	P-62m

***

(C)
This record from Alexandria describes a geometry-optimized CaBr5 structure. The functional is GGA-PBE.

a = 6.2343 Å, b = 6.2343 Å, c = 6.2343 Å
α = 60.00°, β = 60.00°, γ = 60.00°
Fractional coordinates of all 6 atoms:
Ca 0.0000 0.0000 0.0000
Br 0.3749 0.3749 0.3749
Br 0.3749 0.3749 0.8752
Br 0.3749 0.8752 0.3749
Br 0.7500 0.7500 0.7500
Br 0.8752 0.3749 0.3749

Properties
SG	F-43m

***

Stability ranking, top entry: (A); the second entry is 170 meV/atom less favorable.

***

(A)
This record from Alexandria describes a geometry-optimized Ca3Br5 structure. The functional is GGA-PBE.

a = 8.7920 Å, b = 8.7920 Å, c = 8.7920 Å
α = 100.53°, β = 100.53°, γ = 129.39°
Fractional coordinates of all 16 atoms:
Ca 0.0000 0.0000 0.0000
Ca 0.0983 0.5983 0.1952
Ca 0.4031 0.9031 0.8048
Ca 0.5000 0.5000 0.0000
Ca 0.5983 0.4031 0.5000
Ca 0.9031 0.0983 0.5000
Br 0.0006 0.5006 0.5000
Br 0.0459 0.3267 0.8727
Br 0.1732 0.0459 0.7191
Br 0.3267 0.4541 0.2809
Br 0.4541 0.1732 0.1273
Br 0.5006 0.0006 0.5000
Br 0.5459 0.6732 0.7191
Br 0.6732 0.9541 0.1273
Br 0.8267 0.5459 0.8727
Br 0.9541 0.8267 0.2809

Properties
SG	I4cm

***

(B)
This record from Alexandria describes a geometry-optimized Ca3Br5 structure. The functional is GGA-PBE.

a = 7.6781 Å, b = 7.6781 Å, c = 4.4291 Å
α = 90.00°, β = 90.00°, γ = 110.34°
Fractional coordinates of all 8 atoms:
Ca 0.0000 0.0000 0.0000
Ca 0.3427 0.6573 0.5000
Ca 0.6573 0.3427 0.5000
Br 0.0000 0.5000 0.0000
Br 0.2054 0.2054 0.5000
Br 0.5000 0.0000 0.0000
Br 0.5000 0.5000 0.0000
Br 0.7946 0.7946 0.5000

Properties
SG	Cmmm

***

Stability ranking, top entry: (A); the second entry is 65 meV/atom less favorable.

***

(A)
This record from Alexandria describes a geometry-optimized CaCdBr structure. The functional is GGA-PBE.

a = 5.2765 Å, b = 5.2765 Å, c = 5.2765 Å
α = 60.00°, β = 60.00°, γ = 60.00°
Fractional coordinates of all 3 atoms:
Ca 0.0000 0.0000 0.0000
Cd 0.2500 0.2500 0.2500
Br 0.7500 0.7500 0.7500

Properties
SG	F-43m

***

(B)
This record from Alexandria describes a geometry-optimized CaCdBr structure. The functional is GGA-PBE.

a = 5.1794 Å, b = 5.1794 Å, c = 5.1794 Å
α = 60.00°, β = 60.00°, γ = 60.00°
Fractional coordinates of all 3 atoms:
Ca 0.0000 0.0000 0.0000
Cd 0.5000 0.5000 0.5000
Br 0.7500 0.7500 0.7500

Properties
SG	F-43m

***

Stability ranking, top entry: (A); the second entry is 74 meV/atom less favorable.

***

(A)
This record from Alexandria describes a geometry-optimized CaCdBr4 structure. The functional is GGA-PBE.

a = 7.1893 Å, b = 4.1697 Å, c = 7.4809 Å
α = 90.00°, β = 102.55°, γ = 90.00°
Fractional coordinates of all 6 atoms:
Ca 0.0000 0.0000 0.0000
Cd 0.5000 0.5000 0.0000
Br 0.1252 0.5000 0.7818
Br 0.3927 0.0000 0.2153
Br 0.6073 0.0000 0.7847
Br 0.8748 0.5000 0.2182

Properties
SG	P2/m

***

(B)
This record from Alexandria describes a geometry-optimized CaCdBr4 structure. The functional is GGA-PBE.

a = 6.4490 Å, b = 6.4490 Å, c = 6.4490 Å
α = 60.00°, β = 60.00°, γ = 60.00°
Fractional coordinates of all 6 atoms:
Ca 0.0000 0.0000 0.0000
Cd 0.7500 0.7500 0.7500
Br 0.3752 0.3752 0.3752
Br 0.3752 0.3752 0.8744
Br 0.3752 0.8744 0.3752
Br 0.8744 0.3752 0.3752

Properties
SG	F-43m

***

Stability ranking, top entry: (A); the second entry is 1205 meV/atom less favorable.

***

(A)
This record from Alexandria describes a geometry-optimized CaCd2CuBr structure. The functional is GGA-PBE.

a = 6.2104 Å, b = 6.2104 Å, c = 4.4816 Å
α = 90.00°, β = 90.00°, γ = 90.00°
Fractional coordinates of all 5 atoms:
Ca 0.0000 0.0000 0.0000
Cd 0.0000 0.5000 0.5000
Cd 0.5000 0.0000 0.5000
Cu 0.5000 0.5000 0.0000
Br 0.5000 0.5000 0.5000

Properties
SG	P4/mmm

***

(B)
This record from Alexandria describes a geometry-optimized CaCd2CuBr structure. The functional is GGA-PBE.

a = 6.2540 Å, b = 6.2540 Å, c = 5.2720 Å
α = 90.00°, β = 90.00°, γ = 90.00°
Fractional coordinates of all 5 atoms:
Ca 0.0000 0.0000 0.0000
Cd 0.0000 0.5000 0.0000
Cd 0.5000 0.0000 0.0000
Cu 0.0000 0.0000 0.5000
Br 0.5000 0.5000 0.5000

Properties
SG	P4/mmm

***

Stability ranking, top entry: (A); the second entry is 117 meV/atom less favorable.

***

(A)
This record from Alexandria describes a geometry-optimized Ca2CeBr6 structure. The functional is GGA-PBE.

a = 7.7183 Å, b = 7.7183 Å, c = 11.0479 Å
α = 94.14°, β = 94.14°, γ = 33.15°
Fractional coordinates of all 9 atoms:
Ca 0.2434 0.2434 0.3256
Ca 0.7566 0.7566 0.6744
Ce 0.5000 0.5000 0.0000
Br 0.1344 0.1344 0.1002
Br 0.3458 0.3458 0.5733
Br 0.4114 0.4114 0.2345
Br 0.5886 0.5886 0.7655
Br 0.6542 0.6542 0.4267
Br 0.8656 0.8656 0.8998

Properties
SG	C2/m

***

(B)
This record from Alexandria describes a geometry-optimized Ca2CeBr6 structure. The functional is GGA-PBE.

a = 8.1302 Å, b = 8.1302 Å, c = 10.8904 Å
α = 106.28°, β = 106.28°, γ = 29.55°
Fractional coordinates of all 9 atoms:
Ca 0.1692 0.1692 0.3351
Ca 0.8308 0.8308 0.6649
Ce 0.5000 0.5000 0.0000
Br 0.1498 0.1498 0.0601
Br 0.1959 0.1959 0.6137
Br 0.4668 0.4668 0.7097
Br 0.5332 0.5332 0.2903
Br 0.8041 0.8041 0.3863
Br 0.8502 0.8502 0.9399

Properties
SG	C2/m

***

Stability ranking, top entry: (B); the second entry is 109 meV/atom less favorable.

***

(A)
This record from Alexandria describes a geometry-optimized CaBr2Cl structure. The functional is GGA-PBE.

a = 4.2795 Å, b = 5.2442 Å, c = 7.6549 Å
α = 74.49°, β = 74.84°, γ = 73.20°
Fractional coordinates of all 4 atoms:
Ca 0.0000 0.0000 0.0000
Br 0.0801 0.5692 0.7753
Br 0.6004 0.0865 0.7199
Cl 0.4212 0.9308 0.2207

Properties
SG	P1

***

(B)
This record from Alexandria describes a geometry-optimized CaBr2Cl structure. The functional is GGA-PBE.

a = 6.2262 Å, b = 6.2262 Å, c = 6.2262 Å
α = 139.02°, β = 139.02°, γ = 59.35°
Fractional coordinates of all 4 atoms:
Ca 0.0000 0.0000 0.0000
Br 0.2500 0.7500 0.5000
Br 0.7500 0.2500 0.5000
Cl 0.5000 0.5000 0.0000

Properties
SG	I4/mmm

***

(C)
This record from Alexandria describes a geometry-optimized CaBr2Cl structure. The functional is GGA-PBE.

a = 5.6022 Å, b = 5.6022 Å, c = 5.3841 Å
α = 103.88°, β = 103.88°, γ = 121.21°
Fractional coordinates of all 4 atoms:
Ca 0.0000 0.0000 0.0000
Br 0.0000 0.5000 0.5000
Br 0.5000 0.0000 0.5000
Cl 0.5000 0.5000 0.0000

Properties
SG	C2/m

***

Stability ranking, top entry: (A); the second entry is 211 meV/atom less favorable.

***

(A)
This record from Alexandria describes a geometry-optimized CaBr2Cl structure. The functional is GGA-PBE.

a = 6.8551 Å, b = 6.8551 Å, c = 4.9391 Å
α = 100.12°, β = 100.12°, γ = 32.59°
Fractional coordinates of all 4 atoms:
Ca 0.0000 0.0000 0.0000
Br 0.3322 0.3322 0.8372
Br 0.6678 0.6678 0.1628
Cl 0.5000 0.5000 0.5000

Properties
SG	C2/m

***

(B)
This record from Alexandria describes a geometry-optimized CaBr2Cl structure. The functional is GGA-PBE.

a = 7.1324 Å, b = 7.1324 Å, c = 7.1324 Å
α = 98.56°, β = 98.56°, γ = 134.60°
Fractional coordinates of all 8 atoms:
Ca 0.0000 0.0000 0.0000
Ca 0.7500 0.2500 0.5000
Br 0.0868 0.6250 0.9618
Br 0.3750 0.3368 0.4618
Br 0.6632 0.1250 0.0382
Br 0.8750 0.9132 0.5382
Cl 0.2500 0.7500 0.5000
Cl 0.5000 0.5000 0.0000

Properties
SG	I-42d

***

Stability ranking, top entry: (B); the second entry is 41 meV/atom less favorable.

***

(A)
This record from Alexandria describes a geometry-optimized CaBr2Cl structure. The functional is GGA-PBE.

a = 5.4281 Å, b = 7.6367 Å, c = 7.7280 Å
α = 74.36°, β = 71.76°, γ = 71.25°
Fractional coordinates of all 8 atoms:
Ca 0.1185 0.1227 0.1653
Ca 0.8815 0.8773 0.8347
Br 0.0000 0.5000 0.0000
Br 0.0734 0.7606 0.4618
Br 0.5000 0.5000 0.5000
Br 0.9266 0.2394 0.5382
Cl 0.3409 0.9417 0.8634
Cl 0.6591 0.0583 0.1366

Properties
SG	P-1

***

(B)
This record from Alexandria describes a geometry-optimized CaBr2Cl structure. The functional is GGA-PBE.

a = 5.4921 Å, b = 5.4921 Å, c = 5.4921 Å
α = 126.02°, β = 126.02°, γ = 79.86°
Fractional coordinates of all 4 atoms:
Ca 0.0000 0.0000 0.0000
Br 0.5000 0.5000 0.0000
Br 0.7500 0.2500 0.5000
Cl 0.2500 0.7500 0.5000

Properties
SG	I-4m2

***

(C)
This record from Alexandria describes a geometry-optimized CaBr2Cl structure. The functional is GGA-PBE.

a = 4.4176 Å, b = 5.6596 Å, c = 5.6596 Å
α = 58.52°, β = 90.00°, γ = 90.00°
Fractional coordinates of all 4 atoms:
Ca 0.0000 0.0000 0.0000
Br 0.0000 0.4695 0.4695
Br 0.5000 0.7715 0.7715
Cl 0.5000 0.1876 0.1876

Properties
SG	Amm2

***

Stability ranking, top entry: (A); the second entry is 245 meV/atom less favorable.